(1)
Crystalline Dy5Os2 at its relaxed geometry, computed with GGA-PBE.

## Properties
* ΔE_f: -0.2750 eV/atom
* V: 25.80 Å³/atom
* crystal system: monoclinic
* symmetry: C2/c

a = 8.4212 Å, b = 8.4212 Å, c = 7.3377 Å
α = 96.89°, β = 96.89°, γ = 44.42°
With the nearest neighbours (Å) after each atom.
Fractional positions:
Dy: 0.0780 0.9220 0.7500  4 Os 2.90-2.92
Dy: 0.1414 0.2942 0.3172  3 Os 2.84-3.01
Dy: 0.2942 0.1414 0.8172  3 Os 2.84-3.01
Dy: 0.2938 0.5235 0.0836  2 Os 2.76-2.82
Dy: 0.4765 0.7062 0.4164  2 Os 2.76-2.82
Dy: 0.5235 0.2938 0.5836  2 Os 2.76-2.82
Dy: 0.7062 0.4765 0.9164  2 Os 2.76-2.82
Dy: 0.7058 0.8586 0.1828  3 Os 2.84-3.01
Dy: 0.8586 0.7058 0.6828  3 Os 2.84-3.01
Dy: 0.9220 0.0780 0.2500  4 Os 2.90-2.92
Os: 0.1036 0.6768 0.4221  7 Dy 2.76-3.01
Os: 0.3232 0.8964 0.0779  7 Dy 2.76-3.01
Os: 0.6768 0.1036 0.9221  7 Dy 2.76-3.01
Os: 0.8964 0.3232 0.5779  7 Dy 2.76-3.01

---

(2)
Crystalline DyOs2 at its relaxed geometry, computed with GGA-PBE.

## Properties
* ΔE_f: -0.3155 eV/atom
* V: 17.99 Å³/atom
* crystal system: hexagonal
* symmetry: P6_3/mmc

a = 5.3088 Å, b = 5.3088 Å, c = 8.8464 Å
α = 90.00°, β = 90.00°, γ = 120.00°
With the nearest neighbours (Å) after each atom.
Fractional positions:
Dy: 0.3333 0.6667 0.0655  12 Os 3.12-3.16, 4 Dy 3.26-3.28
Dy: 0.3333 0.6667 0.4345  12 Os 3.12-3.16, 4 Dy 3.26-3.28
Dy: 0.6667 0.3333 0.5655  12 Os 3.12-3.16, 4 Dy 3.26-3.28
Dy: 0.6667 0.3333 0.9345  12 Os 3.12-3.16, 4 Dy 3.26-3.28
Os: 0.0000 0.0000 0.0000  6 Os 2.72
Os: 0.0000 0.0000 0.5000  6 Os 2.72
Os: 0.1716 0.3432 0.7500  6 Os 2.58-2.73
Os: 0.1716 0.8284 0.7500  6 Os 2.58-2.73
Os: 0.3432 0.1716 0.2500  6 Os 2.58-2.73
Os: 0.6568 0.8284 0.7500  6 Os 2.58-2.73
Os: 0.8284 0.1716 0.2500  6 Os 2.58-2.73
Os: 0.8284 0.6568 0.2500  6 Os 2.58-2.73

---

(3)
Crystalline DyTm2Sc3P2Os at its relaxed geometry, computed with GGA-PBE.

## Properties
* V: 21.19 Å³/atom
* crystal system: orthorhombic
* symmetry: Amm2
* DFT total energy: -6.92 eV per atom

a = 4.0518 Å, b = 7.3777 Å, c = 7.3777 Å
α = 120.15°, β = 90.00°, γ = 90.00°
With the nearest neighbours (Å) after each atom.
Fractional positions:
Dy: 0.0000 0.0000 0.0000  4 P 3.03, 1 Os 3.10, 6 Sc 3.22-3.33
Tm: 0.0000 0.4120 0.8239  4 P 2.99-3.00, 1 Os 3.01, 6 Sc 3.27-3.34
Tm: 0.0000 0.8239 0.4120  4 P 2.99-3.00, 1 Os 3.01, 6 Sc 3.27-3.34
Sc: 0.5000 0.1718 0.4121  2 Os 2.71, 2 P 2.84-2.86
Sc: 0.5000 0.4121 0.1718  2 Os 2.71, 2 P 2.84-2.86
Sc: 0.5000 0.6606 0.6606  2 Os 2.68, 2 P 2.84
P: 0.5000 0.0810 0.7434  3 Sc 2.84-2.86, 4 Tm 2.99-3.00, 2 Dy 3.03
P: 0.5000 0.7434 0.0810  3 Sc 2.84-2.86, 4 Tm 2.99-3.00, 2 Dy 3.03
Os: 0.0000 0.4213 0.4213  6 Sc 2.68-2.71, 2 Tm 3.01

---

(4)
Crystalline Dy2TmSc3P2Os at its relaxed geometry, computed with GGA-PBE.

## Properties
* V: 21.33 Å³/atom
* crystal system: orthorhombic
* symmetry: Amm2
* DFT total energy: -6.94 eV per atom

a = 4.0604 Å, b = 7.3793 Å, c = 7.3793 Å
α = 119.75°, β = 90.00°, γ = 90.00°
With the nearest neighbours (Å) after each atom.
Fractional positions:
Dy: 0.0000 0.2063 0.7937  4 P 3.02-3.03, 1 Os 3.08, 6 Sc 3.24-3.35
Dy: 0.0000 0.7937 0.2063  4 P 3.02-3.03, 1 Os 3.08, 6 Sc 3.24-3.35
Tm: 0.0000 0.6191 0.6191  1 Os 2.99, 4 P 2.99, 2 Sc 3.30
Sc: 0.5000 0.2060 0.4515  2 Os 2.70, 2 P 2.85-2.86
Sc: 0.5000 0.4515 0.2060  2 Os 2.70, 2 P 2.85-2.86
Sc: 0.5000 0.9699 0.9699  2 Os 2.73, 2 P 2.87
P: 0.5000 0.5420 0.8707  3 Sc 2.85-2.87, 2 Tm 2.99, 4 Dy 3.02-3.03
P: 0.5000 0.8707 0.5420  3 Sc 2.85-2.87, 2 Tm 2.99, 4 Dy 3.02-3.03
Os: 0.0000 0.2159 0.2159  6 Sc 2.70-2.73, 1 Tm 2.99

---

(5)
Crystalline DyY2Sc3P2Os at its relaxed geometry, computed with GGA-PBE.

## Properties
* V: 21.57 Å³/atom
* crystal system: orthorhombic
* symmetry: Amm2
* DFT total energy: -7.37 eV per atom

a = 4.0678 Å, b = 7.4303 Å, c = 7.4303 Å
α = 120.17°, β = 90.00°, γ = 90.00°
With the nearest neighbours (Å) after each atom.
Fractional positions:
Dy: 0.0000 0.0000 0.0000  4 P 3.03, 1 Os 3.05, 6 Sc 3.27-3.35
Y: 0.0000 0.1734 0.5870  4 P 3.02, 1 Os 3.08, 6 Sc 3.28-3.36
Y: 0.0000 0.5870 0.1734  4 P 3.02, 1 Os 3.08, 6 Sc 3.28-3.36
Sc: 0.5000 0.3458 0.3458  2 Os 2.71, 2 P 2.88
Sc: 0.5000 0.5874 0.8277  2 Os 2.71, 2 P 2.88-2.89
Sc: 0.5000 0.8277 0.5874  2 Os 2.71, 2 P 2.88-2.89
P: 0.5000 0.2537 0.9203  3 Sc 2.88-2.89, 4 Y 3.02, 2 Dy 3.03
P: 0.5000 0.9203 0.2537  3 Sc 2.88-2.89, 4 Y 3.02, 2 Dy 3.03
Os: 0.0000 0.5879 0.5879  6 Sc 2.71

---

(6)
Crystalline Dy2YSc3P2Os at its relaxed geometry, computed with GGA-PBE.

## Properties
* V: 21.53 Å³/atom
* crystal system: orthorhombic
* symmetry: Amm2
* DFT total energy: -7.16 eV per atom

a = 4.0648 Å, b = 7.4121 Å, c = 7.4121 Å
α = 119.82°, β = 90.00°, γ = 90.00°
With the nearest neighbours (Å) after each atom.
Fractional positions:
Dy: 0.0000 0.2065 0.7935  4 P 3.02, 1 Os 3.06, 6 Sc 3.27-3.35
Dy: 0.0000 0.7935 0.2065  4 P 3.02, 1 Os 3.06, 6 Sc 3.27-3.35
Y: 0.0000 0.3797 0.3797  4 P 3.02, 1 Os 3.08, 6 Sc 3.28-3.36
Sc: 0.5000 0.0339 0.0339  2 Os 2.70, 2 P 2.88
Sc: 0.5000 0.5524 0.7938  2 Os 2.71, 2 P 2.87-2.88
Sc: 0.5000 0.7938 0.5524  2 Os 2.71, 2 P 2.87-2.88
P: 0.5000 0.1268 0.4600  3 Sc 2.87-2.88, 2 Y 3.02, 4 Dy 3.02
P: 0.5000 0.4600 0.1268  3 Sc 2.87-2.88, 2 Y 3.02, 4 Dy 3.02
Os: 0.0000 0.7943 0.7943  6 Sc 2.70-2.71

---

(7)
Crystalline Dy2Y3ScP2Os at its relaxed geometry, computed with GGA-PBE.

## Properties
* V: 23.18 Å³/atom
* crystal system: orthorhombic
* symmetry: Amm2
* DFT total energy: -7.11 eV per atom

a = 4.1066 Å, b = 7.6319 Å, c = 7.6319 Å
α = 119.27°, β = 90.00°, γ = 90.00°
With the nearest neighbours (Å) after each atom.
Fractional positions:
Dy: 0.0000 0.1221 0.8779  2 Os 2.86, 2 P 2.98-3.00
Dy: 0.0000 0.8779 0.1221  2 Os 2.86, 2 P 2.98-3.00
Y: 0.5000 0.1253 0.5310  1 Os 3.00, 4 P 3.08-3.16
Y: 0.5000 0.5310 0.1253  1 Os 3.00, 4 P 3.08-3.16
Y: 0.5000 0.6999 0.6999  4 P 3.04, 2 Sc 3.24
Sc: 0.0000 0.3747 0.3747  2 Os 2.68, 2 P 2.85
P: 0.0000 0.4550 0.7806  1 Sc 2.85, 2 Dy 2.98-3.00, 6 Y 3.04-3.16
P: 0.0000 0.7806 0.4550  1 Sc 2.85, 2 Dy 2.98-3.00, 6 Y 3.04-3.16
Os: 0.5000 0.1519 0.1519  2 Sc 2.68, 4 Dy 2.86, 2 Y 3.00

---

(8)
Crystalline DyY3Tm2P2Os at its relaxed geometry, computed with GGA-PBE.

## Properties
* V: 23.62 Å³/atom
* crystal system: orthorhombic
* symmetry: Amm2
* DFT total energy: -6.87 eV per atom

a = 4.1348 Å, b = 7.7187 Å, c = 7.7187 Å
α = 120.37°, β = 90.00°, γ = 90.00°
With the nearest neighbours (Å) after each atom.
Fractional positions:
Dy: 0.0000 0.0000 0.0000  2 Os 2.84, 2 P 2.98
Y: 0.5000 0.2480 0.8368  4 P 3.09-3.11, 1 Os 3.20, 4 Tm 3.34-3.45, 2 Dy 3.46
Y: 0.5000 0.6555 0.6555  1 Os 3.08, 4 P 3.14, 2 Dy 3.36, 4 Tm 3.43
Y: 0.5000 0.8368 0.2480  4 P 3.09-3.11, 1 Os 3.20, 4 Tm 3.34-3.45, 2 Dy 3.46
Tm: 0.0000 0.2479 0.4968  2 Os 2.81, 2 P 2.93-2.94
Tm: 0.0000 0.4968 0.2479  2 Os 2.81, 2 P 2.93-2.94
P: 0.0000 0.5781 0.9155  2 Tm 2.93-2.94, 1 Dy 2.98, 6 Y 3.09-3.14
P: 0.0000 0.9155 0.5781  2 Tm 2.93-2.94, 1 Dy 2.98, 6 Y 3.09-3.14
Os: 0.5000 0.2538 0.2538  4 Tm 2.81, 2 Dy 2.84, 1 Y 3.08

---

(9)
Crystalline DyOsPb at its relaxed geometry, computed with GGA-PBE.

## Properties
* V: 25.10 Å³/atom
* crystal system: cubic
* symmetry: F-43m
* DFT total energy: -5.86 eV per atom

a = 6.7031 Å, b = 6.7031 Å, c = 6.7031 Å
α = 90.00°, β = 90.00°, γ = 90.00°
With the nearest neighbours (Å) after each atom.
Fractional positions:
Dy: 0.0000 0.0000 0.0000  4 Pb 2.90
Dy: 0.0000 0.5000 0.5000  4 Pb 2.90
Dy: 0.5000 0.0000 0.5000  4 Pb 2.90
Dy: 0.5000 0.5000 0.0000  4 Pb 2.90
Os: 0.0000 0.0000 0.5000  4 Pb 2.90
Os: 0.0000 0.5000 0.0000  4 Pb 2.90
Os: 0.5000 0.0000 0.0000  4 Pb 2.90
Os: 0.5000 0.5000 0.5000  4 Pb 2.90
Pb: 0.2500 0.2500 0.2500  4 Dy 2.90, 4 Os 2.90
Pb: 0.2500 0.7500 0.7500  4 Dy 2.90, 4 Os 2.90
Pb: 0.7500 0.2500 0.7500  4 Dy 2.90, 4 Os 2.90
Pb: 0.7500 0.7500 0.2500  4 Dy 2.90, 4 Os 2.90

---

(10)
Crystalline DyOsPb at its relaxed geometry, computed with GGA-PBE.

## Properties
* V: 26.01 Å³/atom
* crystal system: cubic
* symmetry: F-43m
* DFT total energy: -5.67 eV per atom

a = 6.7831 Å, b = 6.7831 Å, c = 6.7831 Å
α = 90.00°, β = 90.00°, γ = 90.00°
With the nearest neighbours (Å) after each atom.
Fractional positions:
Dy: 0.0000 0.0000 0.0000  4 Pb 2.94, 4 Os 2.94
Dy: 0.0000 0.5000 0.5000  4 Pb 2.94, 4 Os 2.94
Dy: 0.5000 0.0000 0.5000  4 Pb 2.94, 4 Os 2.94
Dy: 0.5000 0.5000 0.0000  4 Pb 2.94, 4 Os 2.94
Os: 0.2500 0.2500 0.7500  4 Dy 2.94
Os: 0.2500 0.7500 0.2500  4 Dy 2.94
Os: 0.7500 0.2500 0.2500  4 Dy 2.94
Os: 0.7500 0.7500 0.7500  4 Dy 2.94
Pb: 0.2500 0.2500 0.2500  4 Dy 2.94
Pb: 0.2500 0.7500 0.7500  4 Dy 2.94
Pb: 0.7500 0.2500 0.7500  4 Dy 2.94
Pb: 0.7500 0.7500 0.2500  4 Dy 2.94

---

| no. | density (g/cm³) |
| --- | --- |
| 1 | 10.97 |
| 2 | 16.70 |
| 3 | 7.73 |
| 4 | 7.62 |
| 5 | 6.22 |
| 6 | 6.86 |
| 7 | 7.07 |
| 8 | 7.96 |
| 9 | 12.35 |
| 10 | 11.92 |